# 1
Entry from the Alexandria database: a relaxed structure of ZrIn2Se (GGA-PBE).

Calculated values
Total magnetization, μB/cell: 0.00
Formation energy (no corrections), eV/atom: -0.047

The structure in POSCAR format:
```
ZrIn2Se
1.0
0.0000 3.5758 3.5758
3.5758 0.0000 3.5758
3.5758 3.5758 0.0000
Zr In Se
1 2 1
Direct
0.0000 0.0000 0.0000
0.5000 0.5000 0.5000
0.7500 0.7500 0.7500
0.2500 0.2500 0.2500
```



# 2
Entry from the Alexandria database: a relaxed structure of Al6ZnMo2 (GGA-PBE).

Calculated values
Total magnetization, μB/cell: 0.00
Offset from the most stable computed form, meV/atom: 0

The structure in POSCAR format:
```
Al6ZnMo2
1.0
6.2214 -1.8569 0.0000
6.2214 1.8569 0.0000
-2.3543 0.0000 6.0128
Al Zn Mo
6 1 2
Direct
0.1019 0.1019 0.1521
0.2236 0.2236 0.8475
0.3314 0.3314 0.4988
0.6686 0.6686 0.5012
0.7764 0.7764 0.1525
0.8981 0.8981 0.8479
0.0000 0.0000 0.5000
0.4430 0.4430 0.1925
0.5570 0.5570 0.8075
```



# 3
Entry from the Alexandria database: a relaxed structure of SrYI3 (GGA-PBE).

Calculated values
Total magnetization, μB/cell: 0.00
Offset from the most stable computed form, meV/atom: 0
Formation energy (no corrections), eV/atom: -0.887

The structure in POSCAR format:
```
SrYI3
1.0
6.0112 0.0000 0.0000
0.0000 6.0112 0.0000
0.0000 0.0000 6.0112
Sr Y I
1 1 3
Direct
0.0000 0.0000 0.0000
0.5000 0.5000 0.5000
0.0000 0.5000 0.5000
0.5000 0.0000 0.5000
0.5000 0.5000 0.0000
```